NaIrPb2 after structural relaxation, computed with PBE.

**Calculated formation energy**: 0.15 eV per atom
**Uncorrected energy**: -4.252 eV/atom
**Crystal system**: trigonal

Structure (CIF):
```
data_NaIrPb2
_chemical_formula_sum 'Na1 Ir1 Pb2'
_space_group_name_H-M_alt 'P 1'
_space_group_IT_number 1
_space_group_name_Hall 'P 1'
_cell_length_a 3.820
_cell_length_b 3.820
_cell_length_c 8.807
_cell_angle_alpha 77.48
_cell_angle_beta 77.48
_cell_angle_gamma 60.00
loop_
_atom_site_label
_atom_site_type_symbol
_atom_site_fract_x
_atom_site_fract_y
_atom_site_fract_z
Ir1 Ir 0.000 0.000 0.000
Pb1 Pb 0.733 0.733 0.802
Na1 Na 0.500 0.500 0.500
Pb2 Pb 0.267 0.267 0.198
```